Entry 1:
{"formula": "AcDy2Zn3", "functional": "PBE", "state": "optimized geometry", "e_tot_ev_per_cell": -18.843, "e_form_kj_per_mol_fu": -165, "cell": [[3.6841, 0.0000, 0.0000], [0.0000, 3.6841, 0.0000], [0.0000, 0.0000, 11.0236]], "species": ["Ac", "Dy", "Dy", "Zn", "Zn", "Zn"], "frac_coords": [[0.5000, 0.5000, 0.5000], [0.5000, 0.5000, 0.8430], [0.5000, 0.5000, 0.1570], [0.0000, 0.0000, 0.0000], [0.0000, 0.0000, 0.6976], [0.0000, 0.0000, 0.3024]]}

=====

Entry 2:
{"formula": "AcDyZn3", "functional": "PBE", "state": "optimized geometry", "e_tot_ev_per_cell": -27.933, "e_form_kj_per_mol_fu": -138, "cell": [[3.7688, 0.0000, -0.5189], [0.0000, 4.6390, 0.0000], [0.0041, 0.0000, 13.9757]], "species": ["Ac", "Ac", "Dy", "Dy", "Zn", "Zn", "Zn", "Zn", "Zn", "Zn"], "frac_coords": [[0.9237, 0.7500, 0.8474], [0.0763, 0.2500, 0.1526], [0.2105, 0.7500, 0.4210], [0.7895, 0.2500, 0.5790], [0.6256, 0.7500, 0.2511], [0.3744, 0.2500, 0.7489], [0.5238, 0.7500, 0.0475], [0.4762, 0.2500, 0.9525], [0.6795, 0.2500, 0.3590], [0.3205, 0.7500, 0.6410]]}

=====

Repeat the first record exactly.
{"formula": "AcDy2Zn3", "functional": "PBE", "state": "optimized geometry", "e_tot_ev_per_cell": -18.843, "e_form_kj_per_mol_fu": -165, "cell": [[3.6841, 0.0000, 0.0000], [0.0000, 3.6841, 0.0000], [0.0000, 0.0000, 11.0236]], "species": ["Ac", "Dy", "Dy", "Zn", "Zn", "Zn"], "frac_coords": [[0.5000, 0.5000, 0.5000], [0.5000, 0.5000, 0.8430], [0.5000, 0.5000, 0.1570], [0.0000, 0.0000, 0.0000], [0.0000, 0.0000, 0.6976], [0.0000, 0.0000, 0.3024]]}